First-principles (GGA-PBE) data for a relaxed structure of Th2AsN2, as listed in Alexandria.

**Symmetry**: Amm2
**Spin magnetization**: 0.0 μB/f.u.
**Energy**: -0.31947 hartree per atom
**ΔE to the lowest computed polymorph**: 0 meV per atom
**Uncorrected formation energy**: -1.47 eV per atom

a b c (Å): 4.1218 6.9908 6.9908
angles (deg): 33.55 90.00 90.00
Closest atoms and distances in Å follow each position.
Fractional coordinates of all 5 atoms:
Th1 0.0000 0.0000 0.0000  4 N 2.32-2.33
Th2 0.5000 0.3266 0.3266  4 N 2.36-2.38
As1 0.0000 0.6880 0.6880  6 Th 3.23-3.43
N1 0.0000 0.4125 0.4125  4 Th 2.33-2.36
N2 0.5000 0.9205 0.9205  4 Th 2.32-2.38

=====

First-principles (GGA-PBE) data for a relaxed structure of Th3AsN3, as listed in Alexandria.

**Symmetry**: R-3
**Spin magnetization**: 0.0 μB/f.u.
**Energy**: -0.33085 hartree per atom
**Uncorrected formation energy**: -1.59 eV per atom

a b c (Å): 8.2670 8.2670 8.2670
angles (deg): 50.08 50.08 50.08
Closest atoms and distances in Å follow each position.
Fractional coordinates of all 14 atoms:
Th1 0.0483 0.4042 0.7502  4 N 2.38-2.44
Th2 0.2498 0.9517 0.5958  4 N 2.38-2.44
Th3 0.4042 0.7502 0.0483  4 N 2.38-2.44
Th4 0.5958 0.2498 0.9517  4 N 2.38-2.44
Th5 0.7502 0.0483 0.4042  4 N 2.38-2.44
Th6 0.9517 0.5958 0.2498  4 N 2.38-2.44
As1 0.1666 0.1666 0.1666  6 Th 3.11-3.14
As2 0.8334 0.8334 0.8334  6 Th 3.11-3.14
N1 0.0613 0.6981 0.3679  4 Th 2.38-2.44
N2 0.3019 0.6321 0.9387  4 Th 2.38-2.44
N3 0.3679 0.0613 0.6981  4 Th 2.38-2.44
N4 0.6321 0.9387 0.3019  4 Th 2.38-2.44
N5 0.6981 0.3679 0.0613  4 Th 2.38-2.44
N6 0.9387 0.3019 0.6321  4 Th 2.38-2.44

=====

First-principles (GGA-PBE) data for a relaxed structure of Th2AsN, as listed in Alexandria.

**Symmetry**: R3m
**Spin magnetization**: 0.0 μB/f.u.
**Energy**: -0.29313 hartree per atom
**ΔE to the lowest computed polymorph**: 355 meV per atom
**Uncorrected formation energy**: -1.02 eV per atom

a b c (Å): 7.4860 7.4860 7.4860
angles (deg): 29.23 29.23 29.23
Closest atoms and distances in Å follow each position.
Fractional coordinates of all 4 atoms:
Th1 0.0000 0.0000 0.0000  3 N 2.81, 3 As 2.92
Th2 0.1523 0.1523 0.1523  3 N 2.65, 3 As 2.93
As1 0.5764 0.5764 0.5764  6 Th 2.92-2.93
N1 0.7491 0.7491 0.7491  6 Th 2.65-2.81

=====

Q: What is the spin magnetization in the first record?
A: 0.0 μB/f.u.